# CuNiBi2, relaxed, DFT GGA-PBE
data_CuNiBi2
_chemical_formula_sum 'Cu3 Ni3 Bi6'
_symmetry_space_group_name_H-M 'R -3 m'
_symmetry_Int_Tables_number 166
_symmetry_space_group_name_Hall '-R 3 2"'
_cell_length_a 3.6678
_cell_length_b 3.6678
_cell_length_c 25.3067
_cell_angle_alpha 90.00
_cell_angle_beta 90.00
_cell_angle_gamma 120.00
loop_
_atom_site_label
_atom_site_fract_x
_atom_site_fract_y
_atom_site_fract_z
Cu1 0.0000 0.0000 0.0000
Ni1 0.0000 0.0000 0.5000
Bi1 0.0000 0.0000 0.1029
# Total magnetic moment, μB/f.u.: 0.0
# ΔE_f, eV/atom: 0.3233

# Cu2NiBi, relaxed, DFT GGA-PBE
data_Cu2NiBi
_chemical_formula_sum 'Cu8 Ni4 Bi4'
_symmetry_space_group_name_H-M 'I -4 2 d'
_symmetry_Int_Tables_number 122
_symmetry_space_group_name_Hall 'I -4 2bw'
_cell_length_a 7.280
_cell_length_b 7.280
_cell_length_c 5.067
_cell_angle_alpha 90.00
_cell_angle_beta 90.00
_cell_angle_gamma 90.00
loop_
_atom_site_label
_atom_site_fract_x
_atom_site_fract_y
_atom_site_fract_z
Cu1 0.212 0.750 0.125
Ni1 0.000 0.000 0.000
Bi1 0.000 0.000 0.500
# Total magnetic moment, μB/f.u.: 0.0
# ΔE_f, eV/atom: 0.3659

# CuNiBi2, relaxed, DFT GGA-PBE
data_CuNiBi2
_chemical_formula_sum 'Cu4 Ni4 Bi8'
_symmetry_space_group_name_H-M 'F m -3 m'
_symmetry_Int_Tables_number 225
_symmetry_space_group_name_Hall '-F 4 2 3'
_cell_length_a 6.888
_cell_length_b 6.888
_cell_length_c 6.888
_cell_angle_alpha 90.00
_cell_angle_beta 90.00
_cell_angle_gamma 90.00
loop_
_atom_site_label
_atom_site_fract_x
_atom_site_fract_y
_atom_site_fract_z
Cu1 0.000 0.000 0.000
Ni1 0.000 0.000 0.500
Bi1 0.250 0.250 0.250
# Total magnetic moment, μB/f.u.: 0.0
# ΔE_f, eV/atom: 0.2749

# CuNiBi2, relaxed, DFT GGA-PBE
data_CuNiBi2
_chemical_formula_sum 'Cu4 Ni4 Bi8'
_symmetry_space_group_name_H-M 'I -4 2 d'
_symmetry_Int_Tables_number 122
_symmetry_space_group_name_Hall 'I -4 2bw'
_cell_length_a 7.218
_cell_length_b 7.218
_cell_length_c 6.876
_cell_angle_alpha 90.00
_cell_angle_beta 90.00
_cell_angle_gamma 90.00
loop_
_atom_site_label
_atom_site_fract_x
_atom_site_fract_y
_atom_site_fract_z
Cu1 0.000 0.000 0.000
Ni1 0.000 0.000 0.500
Bi1 0.238 0.250 0.625
# Total magnetic moment, μB/f.u.: 0.0
# ΔE_f, eV/atom: 0.3723

Question: The lowest ΔE_f belongs to which entry?
Answer: number 3

Question: What is the formula in the second record?
Answer: Cu2NiBi